{"formula": "Dy2Ho6Zr", "functional": "PBE", "state": "optimized geometry", "formation_enthalpy_0k_ev_per_fu": 0.7, "crystal_system": "triclinic", "n_ef_per_ev_cell": 29.85, "total_magnetization_mub_per_fu": 0.0, "polymorph_energy_mev_per_atom": 43, "lattice": [[0.056, 2.052, -6.187], [8.730, -4.639, -10.674], [-7.376, -4.364, 3.252]], "species": ["Ho", "Ho", "Ho", "Ho", "Ho", "Ho", "Ho", "Ho", "Ho", "Ho", "Ho", "Ho", "Zr", "Zr", "Dy", "Dy", "Dy", "Dy"], "frac_coords": [[0.885, 0.777, 0.244], [0.431, 0.675, 0.110], [0.746, 0.000, 0.700], [0.254, 0.000, 0.300], [0.044, 0.425, 0.185], [0.956, 0.575, 0.815], [0.696, 0.096, 0.403], [0.569, 0.325, 0.890], [0.653, 0.197, 0.139], [0.304, 0.904, 0.597], [0.115, 0.223, 0.756], [0.347, 0.803, 0.861], [0.798, 0.887, 0.969], [0.202, 0.113, 0.031], [0.092, 0.310, 0.458], [0.490, 0.555, 0.375], [0.510, 0.445, 0.625], [0.908, 0.690, 0.542]]}